Version i
! Ce3Pa (PBE, relaxed); values from VASP
! - Magnetic moment: 0.00 μB per formula unit
&SYSTEM
  ibrav = 0, nat = 4, ntyp = 2
/
ATOMIC_SPECIES
Pa 231.04 Pa.upf
Ce 140.12 Ce.upf
ATOMIC_POSITIONS angstrom
Pa 3.977 -0.337 3.923
Ce 0.938 2.713 2.117
Ce 0.742 -0.618 2.903
Ce -2.125 2.193 1.171
CELL_PARAMETERS angstrom
-2.210 -0.922 2.161
3.991 -0.338 3.938
-1.801 6.068 -1.659


Version ii
! Ce3Pa (PBE, relaxed); values from VASP
! - Magnetic moment: 0.00 μB per formula unit
&SYSTEM
  ibrav = 0, nat = 4, ntyp = 2
/
ATOMIC_SPECIES
Pa 231.04 Pa.upf
Ce 140.12 Ce.upf
ATOMIC_POSITIONS angstrom
Pa 0.000 0.000 7.042
Ce 0.000 1.621 3.338
Ce 2.167 1.621 1.548
Ce 2.167 0.000 5.251
CELL_PARAMETERS angstrom
4.333 0.000 0.000
0.000 3.243 0.000
0.000 0.000 7.363


Energy comparison, zero being the most stable, in kJ/mol of atoms: version i 0.0; version ii 11.7.


Version i
! Zr2MoBr (PBE, relaxed); values from VASP
! - Magnetic moment: 0.00 μB per formula unit
&SYSTEM
  ibrav = 0, nat = 4, ntyp = 3
/
ATOMIC_SPECIES
Mo 95.94 Mo.upf
Br 79.90 Br.upf
Zr 91.22 Zr.upf
ATOMIC_POSITIONS angstrom
Mo 1.120 2.075 1.487
Br 3.051 -0.501 1.483
Zr 0.030 0.022 0.000
Zr 3.395 2.546 0.000
CELL_PARAMETERS angstrom
5.357 -0.008 -0.004
1.493 5.144 0.004
-2.679 -3.563 2.970


Version ii
! Zr2MoBr (PBE, relaxed); values from VASP
! - Magnetic moment: 0.00 μB per formula unit
&SYSTEM
  ibrav = 0, nat = 4, ntyp = 3
/
ATOMIC_SPECIES
Mo 95.94 Mo.upf
Br 79.90 Br.upf
Zr 91.22 Zr.upf
ATOMIC_POSITIONS angstrom
Mo 0.973 1.494 6.541
Br 0.973 1.494 2.180
Zr 0.000 0.000 8.530
Zr 0.000 0.000 4.552
CELL_PARAMETERS angstrom
3.238 0.018 0.000
-1.291 2.970 0.000
0.000 0.000 8.721


Energy comparison, zero being the most stable, in kJ/mol of atoms: version i 41.1; version ii 0.0.